Record 1
5
Lattice="3.478 0.120 -0.160 -0.621 3.424 -0.160 -1.164 -1.445 6.553" Properties=species:S:1:pos:R:3 comment="NaB2P2, relaxed, DFT PBE" ef_ev_per_atom=0.21 sg=C2/m energy_ev_per_atom=-4.89 polymorph_energy_kj_per_mol_fu=0 pbc="T T T"
B 1.871 0.224 3.116
P 0.180 0.224 4.297
Na 0.000 0.000 0.000
P 1.512 1.876 1.936
B -0.178 1.875 3.116

***

Record 2
4
Lattice="-3.843 -2.573 -2.140 4.448 -2.327 0.878 -1.814 -1.539 5.109" Properties=species:S:1:pos:R:3 comment="NaSi, relaxed, DFT PBE" sg=P6_3/mmc energy_ev_per_atom=-2.28 polymorph_energy_kj_per_mol_fu=213 pbc="T T T"
Na -2.440 -3.645 2.698
Si -1.533 -2.876 0.143
Si 0.323 -3.563 3.704
Na 1.230 -2.794 1.149

***

Record 3
6
Lattice="-2.638 -2.202 -1.257 2.087 -2.916 0.726 -6.457 -0.869 15.076" Properties=species:S:1:pos:R:3 comment="CaLa4Th, relaxed, DFT PBE" ef_ev_per_atom=0.05 sg=P4/mmm energy_ev_per_atom=-4.81 pbc="T T T"
La -5.576 -3.272 12.110
La -4.758 -5.684 9.293
Th -3.504 -2.993 7.273
La -1.432 -2.715 2.435
La -2.250 -0.303 5.253
Ca 0.000 0.000 0.000

***

Record 4
12
Lattice="-2.166 3.017 -3.350 -2.723 -5.425 -3.126 -3.862 3.137 5.376" Properties=species:S:1:pos:R:3 comment="Ag3SnCl2F6, relaxed, DFT PBE" sg=C2/m energy_ev_per_atom=-3.78 pbc="T T T"
F -5.921 -0.350 1.492
Ag -4.375 0.365 -0.550
Sn -1.083 1.509 -1.675
Ag -3.014 3.077 1.013
Ag -1.362 -2.712 -1.563
F -4.390 -2.030 -4.383
F -2.829 1.080 -2.591
F -6.769 -0.240 -1.142
Cl -3.645 -1.984 -0.837
F -1.981 0.970 0.043
Cl -5.106 2.714 -0.262
F -4.360 2.760 3.283

***

Record 5
5
Lattice="-0.359 3.446 -2.462 -3.832 0.788 1.661 3.111 4.073 5.247" Properties=species:S:1:pos:R:3 comment="SiBiIO2, relaxed, DFT PBE" sg=P4/mmm energy_ev_per_atom=-4.03 polymorph_energy_kj_per_mol_fu=82 pbc="T T T"
O -1.916 0.394 0.830
O -0.179 1.723 -1.231
I 1.555 2.037 2.623
Si -0.540 4.153 2.223
Bi 0.000 0.000 0.000

***

Record 6
6
Lattice="-2.988 1.849 -1.115 -2.492 -1.652 -2.157 -6.074 -2.604 5.859" Properties=species:S:1:pos:R:3 comment="UBeNb, relaxed, DFT PBE" ef_ev_per_atom=0.20 sg=R-3m energy_ev_per_atom=-8.17 pbc="T T T"
Nb -6.527 -1.675 2.521
Be -3.955 -1.272 2.393
U -2.169 -0.150 -0.530
Be -7.598 -1.134 0.194
U -9.384 -2.256 3.117
Nb -5.026 -0.731 0.066

***

Record 7
9
Lattice="-1.999 -2.181 3.658 -3.242 -4.472 -4.439 6.415 -1.580 2.564" Properties=species:S:1:pos:R:3 comment="LiErHg, relaxed, DFT PBE" ef_ev_per_atom=-0.35 sg=P-62m energy_ev_per_atom=-2.61 polymorph_energy_kj_per_mol_fu=0 pbc="T T T"
Li 2.433 -4.641 -1.438
Er 0.354 -3.673 1.029
Hg 3.196 -2.544 0.230
Er -2.858 -3.655 -0.716
Li -1.746 -4.841 -3.841
Hg -4.242 -5.563 -2.610
Li -0.756 -1.043 -1.035
Hg -0.023 -3.508 -2.105
Er -0.564 -6.469 -1.140

***

Record 8
4
Lattice="-0.278 -3.798 -2.536 3.607 -1.384 -2.451 2.305 -3.753 1.240" Properties=species:S:1:pos:R:3 comment="Ta2AgIr, relaxed, DFT PBE" ef_ev_per_atom=0.18 sg=F-43m energy_ev_per_atom=-8.67 pbc="T T T"
Ir 1.409 -2.234 -0.937
Ta 0.000 0.000 0.000
Ag 2.817 -4.468 -1.874
Ta 4.226 -6.701 -2.811

***

Record 9
14
Lattice="6.168 0.000 2.451 2.596 5.594 2.452 0.089 0.057 8.760" Properties=species:S:1:pos:R:3 comment="KP3Rh3, relaxed, DFT PBE" ef_ev_per_atom=-0.57 sg=R-3 energy_ev_per_atom=-6.20 pbc="T T T"
P 5.195 0.687 8.230
Rh 3.335 0.690 6.853
P 4.642 4.422 8.958
Rh 2.698 2.917 5.171
Rh 2.818 4.432 7.596
P 1.848 2.349 7.321
Rh 6.155 2.734 8.492
P 4.211 1.229 4.705
P 7.006 3.303 6.341
K 2.915 1.860 1.651
K 5.939 3.791 12.012
Rh 6.036 1.220 6.066
Rh 5.519 4.961 6.810
P 3.659 4.965 5.433

***

Record 10
10
Lattice="-6.309 -4.384 -0.122 4.017 -5.691 -3.243 0.910 -1.410 3.601" Properties=species:S:1:pos:R:3 comment="YSi2Sb2, relaxed, DFT PBE" sg=P4/mbm energy_ev_per_atom=-5.21 polymorph_energy_kj_per_mol_fu=0 pbc="T T T"
Sb -3.329 -5.663 0.815
Si -3.406 -3.296 -0.430
Y -1.146 -5.037 -1.683
Y 0.000 0.000 0.000
Sb -1.011 -8.293 -0.800
Si 0.876 -2.702 -1.279
Si 1.114 -6.778 -2.935
Sb -0.372 -3.191 1.035
Si -3.168 -7.372 -2.086
Sb 1.947 -5.822 -0.580

***

Record 11
4
Lattice="-2.022 0.058 7.605 4.902 -2.961 5.398 3.695 4.807 5.018" Properties=species:S:1:pos:R:3 comment="CsK2Rb, relaxed, DFT PBE" ef_ev_per_atom=0.01 sg=Fm-3m energy_ev_per_atom=-0.99 polymorph_energy_kj_per_mol_fu=1 pbc="T T T"
K 4.931 1.429 13.516
K 1.644 0.476 4.505
Rb 0.000 0.000 0.000
Cs 3.287 0.952 9.011

***

Record 12
4
Lattice="5.103 0.024 -0.002 1.356 4.920 0.004 -3.227 -2.474 3.106" Properties=species:S:1:pos:R:3 comment="Ca2PRu, relaxed, DFT PBE" ef_ev_per_atom=-0.12 sg=Fmmm energy_ev_per_atom=-4.80 pbc="T T T"
P 2.553 0.011 1.553
Ru 0.679 2.459 1.556
Ca 5.103 0.024 -0.002
Ca 3.230 2.472 0.001

***

Record 13
5
Lattice="-4.885 -0.975 -0.316 1.025 -4.652 -1.492 -0.003 -1.525 4.753" Properties=species:S:1:pos:R:3 comment="SmSc3Ni, relaxed, DFT PBE" ef_ev_per_atom=-0.10 sg=Pm-3m energy_ev_per_atom=-6.00 pbc="T T T"
Sc -0.001 -0.762 2.377
Sc -2.443 -0.487 -0.158
Sm -1.932 -3.576 1.473
Ni 0.000 0.000 0.000
Sc 0.512 -2.326 -0.746

***

Record 14
12
Lattice="-0.010 5.230 -0.200 -1.172 0.264 6.975 9.286 0.077 1.558" Properties=species:S:1:pos:R:3 comment="Nd3YAg2, relaxed, DFT PBE" ef_ev_per_atom=-0.16 sg=Pmc2_1 energy_ev_per_atom=-4.57 polymorph_energy_kj_per_mol_fu=0 pbc="T T T"
Y 4.060 2.652 0.657
Nd 0.796 2.802 4.748
Nd 7.525 2.721 2.291
Nd 8.114 0.202 4.880
Ag 1.182 2.688 1.735
Y 4.605 2.794 4.335
Ag 5.704 0.122 2.903
Nd 2.691 0.116 2.906
Nd 5.206 0.274 6.914
Ag 6.973 2.873 6.292
Ag 2.360 0.231 5.928
Nd -0.565 0.267 7.011

***

Record 15
3
Lattice="4.285 0.000 0.000 0.000 3.742 0.000 0.000 -1.871 3.241" Properties=species:S:1:pos:R:3 comment="GdAsH, relaxed, DFT PBE" sg=P-6m2 energy_ev_per_atom=-8.14 polymorph_energy_kj_per_mol_fu=0 pbc="T T T"
As 2.857 0.000 2.161
Gd 0.715 1.871 1.080
H 0.712 0.000 0.000

***

Record 16
4
Lattice="10.527 0.027 -0.051 9.958 3.415 -0.051 1.518 0.255 5.386" Properties=species:S:1:pos:R:3 comment="K2BaTa, relaxed, DFT PBE" ef_ev_per_atom=1.10 sg=Immm energy_ev_per_atom=-2.89 polymorph_energy_kj_per_mol_fu=44 pbc="T T T"
Ta 16.502 2.772 3.964
Ba 5.501 0.924 1.321
K 3.166 0.532 4.912
K 9.353 1.571 3.116

***

Record 17
12
Lattice="3.849 -0.134 -0.002 -0.112 5.363 -0.006 0.004 0.008 7.418" Properties=species:S:1:pos:R:3 comment="TbHo2NpO8, relaxed, DFT PBE" sg=P2/m energy_ev_per_atom=-8.74 pbc="T T T"
O 1.904 1.298 3.706
O 1.972 4.074 -0.006
O 1.837 3.940 3.703
O 0.001 4.086 5.758
Np 0.000 0.000 0.000
O 3.742 1.156 5.759
O 1.769 1.164 7.415
Tb 0.002 0.004 3.709
Ho 1.870 2.617 1.917
O 3.740 1.152 1.652
Ho 1.871 2.621 5.492
O -0.001 4.081 1.651

***

Record 18
8
Lattice="-1.222 5.102 2.450 -2.406 -2.857 4.748 8.741 -1.163 -0.058" Properties=species:S:1:pos:R:3 comment="Pr3Sm3Tm2, relaxed, DFT PBE" ef_ev_per_atom=0.07 sg=C2/m energy_ev_per_atom=-4.61 pbc="T T T"
Sm 1.383 2.693 1.924
Pr 0.000 0.000 0.000
Sm -1.814 1.122 3.599
Pr 4.575 2.684 3.534
Pr 0.537 -1.603 3.606
Tm 1.807 1.295 5.045
Sm 3.729 -1.611 5.215
Tm 3.305 -0.214 2.094

***

Record 19
4
Lattice="-2.121 2.378 1.873 -2.672 -2.545 0.207 3.679 -3.194 8.223" Properties=species:S:1:pos:R:3 comment="CaEu2Pt, relaxed, DFT PBE" ef_ev_per_atom=-0.49 sg=P4/mmm energy_ev_per_atom=-7.64 polymorph_energy_kj_per_mol_fu=0 pbc="T T T"
Pt -2.396 -0.084 1.040
Ca -0.557 -1.681 5.151
Eu 3.031 -2.631 6.773
Eu 0.649 -0.563 1.450

***

Record 20
5
Lattice="3.602 0.000 -1.346 -0.503 3.566 -1.346 0.385 0.443 6.522" Properties=species:S:1:pos:R:3 comment="Tb2InH2, relaxed, DFT PBE" sg=I4/mmm energy_ev_per_atom=-4.38 pbc="T T T"
Tb 1.344 1.547 3.597
H 0.716 2.896 1.915
In 0.000 0.000 0.000
Tb 2.140 2.462 0.234
H 2.768 1.113 1.915